The following is a DFT calculation (PBE) of an optimized crystal structure of GdTmMgTi.

The structure in POSCAR format:
```
GdTmMgTi
1.0
-3.2943 0.0090 4.0630
1.8690 -0.1608 4.8828
-0.3494 4.2174 3.0744
Gd Mg Tm Ti
1 1 1 1
Cartesian
0.0000 0.0000 0.0000
-1.3311 3.0492 9.0152
-0.8874 2.0328 6.0101
-0.4437 1.0164 3.0051
```

Properties
Crystal system: cubic
Size of the total moment, μB per atom: 1.263
Symmetry: No. 216
VASP energy, eV per atom: -6.8669

---

The following is a DFT calculation (PBE) of an optimized crystal structure of BaTiSn.

The structure in POSCAR format:
```
BaTiSn
1.0
-0.2852 -1.3048 -3.4335
-3.8752 -1.4257 0.8637
-4.6556 10.4766 -3.5946
Ti Ba Sn
2 2 2
Cartesian
-4.4640 9.0723 -5.0533
-4.0738 3.1211 -2.8242
-3.2109 6.2523 -4.0858
-2.8207 0.3011 -1.8566
-1.7814 4.0088 -1.3755
-6.0469 8.5343 -2.7409
```

Properties
Crystal system: orthorhombic
Size of the total moment, μB per atom: 0.533
Symmetry: No. 38
VASP energy, eV per atom: -4.5959

---

> Which formula does entry 1 have?

GdTmMgTi

---

Copy entry 1 word for word.
The following is a DFT calculation (PBE) of an optimized crystal structure of GdTmMgTi.

The structure in POSCAR format:
```
GdTmMgTi
1.0
-3.2943 0.0090 4.0630
1.8690 -0.1608 4.8828
-0.3494 4.2174 3.0744
Gd Mg Tm Ti
1 1 1 1
Cartesian
0.0000 0.0000 0.0000
-1.3311 3.0492 9.0152
-0.8874 2.0328 6.0101
-0.4437 1.0164 3.0051
```

Properties
Crystal system: cubic
Size of the total moment, μB per atom: 1.263
Symmetry: No. 216
VASP energy, eV per atom: -6.8669

---

> Among the records above, which one has the highest size of the total moment?

GdTmMgTi

---

> Which value of VASP energy does entry 1 give?

-6.8669 eV per atom